Entry 1:
First-principles (PBE-GGA) data for a geometry-optimized Th4Tc2Pb structure, as listed in the Alexandria database.

Cell and atoms, written as POSCAR:
```
Th4Tc2Pb
1.0
4.6042 0.0000 0.0000
2.3021 3.9874 0.0000
2.3021 1.3291 11.0890
Th Tc Pb
4 2 1
direct
0.7028 0.7028 0.8915 Th
0.1101 0.1101 0.6698 Th
0.8899 0.8899 0.3302 Th
0.2972 0.2972 0.1085 Th
0.3944 0.3944 0.8167 Tc
0.6056 0.6056 0.1833 Tc
0.5000 0.5000 0.5000 Pb
```

Properties
As for the space-group type: R-3m, No. 166. The calculation puts the energy above the lowest structure with this stoichiometry at 0.126 eV per atom. For the energy of formation, the calculation gives -0.0904 eV/atom.



Entry 2:
First-principles (PBE-GGA) data for a geometry-optimized AcLaSbAu structure, as listed in the Alexandria database.

Cell and atoms, written as POSCAR:
```
AcLaSbAu
1.0
5.5662 0.0000 0.0000
2.7831 4.8205 0.0000
2.7831 1.6068 4.5448
Ac Au La Sb
1 1 1 1
direct
0.0000 0.0000 0.0000 Ac
0.2500 0.2500 0.2500 Au
0.5000 0.5000 0.5000 La
0.7500 0.7500 0.7500 Sb
```

Properties
The value obtained for the uncorrected formation energy is -3.3 eV/f.u. As for the space-group type: F-43m, No. 216.